Li2MnOF3 (GGA+U, optimized geometry); SG = P-1, No. 2; M_tot = 8.000 μB/cell; raw total energy = -5.594 eV per atom
1.0
-0.8574 -2.9357 -0.1468
1.8036 1.0335 -4.6919
8.6952 -2.2526 4.9513
O Li F Mn
2 4 6 2
direct
0.3853 0.7198 0.0492
0.6147 0.2802 0.9508
0.0000 0.0000 0.0000
0.0000 0.0000 0.5000
0.2168 0.4559 0.3877
0.7832 0.5441 0.6123
0.0931 0.2699 0.1785
0.6354 0.2551 0.4507
0.1783 0.3026 0.6919
0.9069 0.7301 0.8215
0.3646 0.7449 0.5493
0.8217 0.6974 0.3081
0.2534 0.4834 0.8733
0.7466 0.5166 0.1267